1.
# PBE MgTeCN2, optimized geometry
data_MgTeCN2
_symmetry_space_group_name_H-M 'P 4/m m m'
_symmetry_Int_Tables_number 123
_symmetry_space_group_name_Hall '-P 4 2'
_cell_length_a 3.8504
_cell_length_b 3.8504
_cell_length_c 4.5385
_cell_angle_alpha 90.00
_cell_angle_beta 90.00
_cell_angle_gamma 90.00
loop_
_atom_site_label
_atom_site_type_symbol
_atom_site_fract_x
_atom_site_fract_y
_atom_site_fract_z
_atom_site_occupancy
Mg1 Mg 0.0000 0.0000 0.0000 1
Te1 Te 0.5000 0.5000 0.0000 1
C1 C 0.5000 0.5000 0.5000 1
N1 N 0.0000 0.5000 0.5000 1
# raw formation energy = 200 kJ/mol of atoms
# ΔE to the lowest computed polymorph = 0.0 meV/atom
# total magnetic moment = 1.03 Bohr magnetons per cell

2.
# PBE TaTi2Os, optimized geometry
data_TaTi2Os
_symmetry_space_group_name_H-M 'P 4/m m m'
_symmetry_Int_Tables_number 123
_symmetry_space_group_name_Hall '-P 4 2'
_cell_length_a 3.0902
_cell_length_b 3.0902
_cell_length_c 6.7654
_cell_angle_alpha 90.00
_cell_angle_beta 90.00
_cell_angle_gamma 90.00
loop_
_atom_site_label
_atom_site_type_symbol
_atom_site_fract_x
_atom_site_fract_y
_atom_site_fract_z
_atom_site_occupancy
Ta1 Ta 0.0000 0.0000 0.0000 1
Ti1 Ti 0.5000 0.5000 0.2732 1
Os1 Os 0.0000 0.0000 0.5000 1
# ΔE to the lowest computed polymorph = 0.0 meV/atom
# energy of formation from the pure elements = -0.332 eV per atom
# total magnetic moment = 0.00 Bohr magnetons per cell

3.
# PBE GdMgGe2, optimized geometry
data_GdMgGe2
_symmetry_space_group_name_H-M 'R -3 m'
_symmetry_Int_Tables_number 166
_symmetry_space_group_name_Hall '-R 3 2"'
_cell_length_a 4.5167
_cell_length_b 4.5167
_cell_length_c 14.9077
_cell_angle_alpha 90.00
_cell_angle_beta 90.00
_cell_angle_gamma 120.00
loop_
_atom_site_label
_atom_site_type_symbol
_atom_site_fract_x
_atom_site_fract_y
_atom_site_fract_z
_atom_site_occupancy
Gd1 Gd 0.0000 0.0000 0.0000 1
Mg1 Mg 0.0000 0.0000 0.5000 1
Ge1 Ge 0.0000 0.0000 0.2343 1
# ΔE to the lowest computed polymorph = 83.6 meV/atom
# energy of formation from the pure elements = -0.407 eV per atom
# total magnetic moment = 20.91 Bohr magnetons per cell

4.
# PBE Pr2CuNi5Ir2, optimized geometry
data_Pr2CuNi5Ir2
_symmetry_space_group_name_H-M 'P 4/m b m'
_symmetry_Int_Tables_number 127
_symmetry_space_group_name_Hall '-P 4 2ab'
_cell_length_a 9.5402
_cell_length_b 9.5402
_cell_length_c 3.5747
_cell_angle_alpha 90.00
_cell_angle_beta 90.00
_cell_angle_gamma 90.00
loop_
_atom_site_label
_atom_site_type_symbol
_atom_site_fract_x
_atom_site_fract_y
_atom_site_fract_z
_atom_site_occupancy
Pr1 Pr 0.1725 0.3275 0.0000 1
Cu1 Cu 0.0000 0.0000 0.0000 1
Ni1 Ni 0.0000 0.5000 0.5000 1
Ni2 Ni 0.0553 0.8134 0.5000 1
Ir1 Ir 0.1291 0.6291 0.0000 1
# energy of formation from the pure elements = -0.038 eV per atom
# total magnetic moment = 0.00 Bohr magnetons per cell